The following is a DFT calculation (PBE with a Hubbard U) of crystalline VGeO4 at its relaxed geometry.

Summary:
The value obtained for the calculated volume is 10.03 Å³ per atom. The total energy is -7.1324 eV per atom.

abc: 5.3916 5.3916 5.3916
angles: 107.88 107.88 112.71
Last column: nearest neighbours and their distance in Å.
Sites, in units of the cell vectors:
1 Ge 0.2486 0.2486 0.0000  6 O 1.91-1.94
2 Ge 0.9986 0.4986 0.5000  6 O 1.91-1.94
3 V 0.7480 0.7480 0.0000  6 O 1.92-1.99
4 V 0.4980 0.9980 0.5000  6 O 1.92-1.99
5 O 0.3002 0.4940 0.8063  2 Ge 1.91-1.94, 1 V 1.95
6 O 0.8108 0.0078 0.8031  1 Ge 1.91, 2 V 1.92-1.99
7 O 0.2440 0.5502 0.3063  2 Ge 1.91-1.94, 1 V 1.95
8 O 0.7578 0.4547 0.6969  1 Ge 1.91, 2 V 1.92-1.99
9 O 0.7578 0.0608 0.3031  1 Ge 1.91, 2 V 1.92-1.99
10 O 0.2440 0.9377 0.6937  2 Ge 1.91-1.94, 1 V 1.95
11 O 0.2047 0.0078 0.1969  1 Ge 1.91, 2 V 1.92-1.99
12 O 0.6877 0.4940 0.1937  2 Ge 1.91-1.94, 1 V 1.95